[1]
A plane-wave DFT calculation with GGA-PBEsol was carried out for crystalline CuAgPt2 at its relaxed geometry.

Cell: 4.367 4.367 4.367 Å, 60.00 60.00 60.00°
Sites, in units of the cell vectors:
Cu1 0.000 0.000 0.000
Ag1 0.250 0.250 0.250
Pt1 0.500 0.500 0.500
Pt2 0.750 0.750 0.750

Properties
Formation energy: 98 meV per atom
Space-group type: No. 216
Fermi-level density of states: 0.9987 states/eV/atom
Energy above the lowest structure with this stoichiometry: 0.195 eV per atom

[2]
A plane-wave DFT calculation with GGA-PBEsol was carried out for crystalline ZrPbI2 at its relaxed geometry.

Cell: 5.292 5.292 5.292 Å, 60.00 60.00 60.00°
Sites, in units of the cell vectors:
Zr1 0.000 0.000 0.000
Pb1 0.500 0.500 0.500
I1 0.250 0.250 0.250
I2 0.750 0.750 0.750

Properties
E_form (uncorrected): -26 meV/atom
Space-group type: No. 225
Fermi-level density of states: 0.6746 states/eV/atom